Version a
DFT (PBE) results for crystalline Ba2LiAgN at its relaxed geometry.

CIF file:
```
data_Ba2LiAgN
_space_group_name_H-M_alt 'P 1'
_space_group_IT_number 1
_space_group_name_Hall 'P 1'
_cell_length_a 5.723
_cell_length_b 5.723
_cell_length_c 4.154
_cell_angle_alpha 90.00
_cell_angle_beta 90.00
_cell_angle_gamma 90.00
loop_
_atom_site_label
_atom_site_fract_x
_atom_site_fract_y
_atom_site_fract_z
Ba1 0.000 0.500 0.000
Ba2 0.500 0.000 0.000
Li1 0.000 0.000 0.500
Ag1 0.500 0.500 0.500
N1 0.000 0.000 0.000
```

- SG = P4/mmm

***

Version b
DFT (PBE) results for crystalline Ba2LiAgN at its relaxed geometry.

CIF file:
```
data_Ba2LiAgN
_space_group_name_H-M_alt 'P 1'
_space_group_IT_number 1
_space_group_name_Hall 'P 1'
_cell_length_a 7.809
_cell_length_b 4.079
_cell_length_c 9.531
_cell_angle_alpha 90.00
_cell_angle_beta 111.65
_cell_angle_gamma 90.00
loop_
_atom_site_label
_atom_site_fract_x
_atom_site_fract_y
_atom_site_fract_z
Ba1 0.144 0.250 0.363
Ba2 0.211 0.250 0.991
Ba3 0.789 0.750 0.009
Ba4 0.856 0.750 0.637
Li1 0.433 0.750 0.294
Li2 0.567 0.250 0.706
Ag1 0.331 0.750 0.698
Ag2 0.669 0.250 0.302
N1 0.161 0.750 0.176
N2 0.839 0.250 0.824
```

- SG = P2_1/m

***

Relative energies, kJ/mol of atoms: version a 4.8; version b 0.0.

***

Version a
DFT (PBE) results for crystalline BaNaLiAg at its relaxed geometry.

CIF file:
```
data_BaNaLiAg
_space_group_name_H-M_alt 'P 1'
_space_group_IT_number 1
_space_group_name_Hall 'P 1'
_cell_length_a 6.774
_cell_length_b 6.774
_cell_length_c 6.774
_cell_angle_alpha 42.89
_cell_angle_beta 42.89
_cell_angle_gamma 42.89
loop_
_atom_site_label
_atom_site_fract_x
_atom_site_fract_y
_atom_site_fract_z
Ba1 0.000 0.000 0.000
Na1 0.801 0.801 0.801
Li1 0.531 0.531 0.531
Ag1 0.211 0.211 0.211
```

- SG = R3m

***

Version b
DFT (PBE) results for crystalline BaNaLiAg at its relaxed geometry.

CIF file:
```
data_BaNaLiAg
_space_group_name_H-M_alt 'P 1'
_space_group_IT_number 1
_space_group_name_Hall 'P 1'
_cell_length_a 5.692
_cell_length_b 5.692
_cell_length_c 5.692
_cell_angle_alpha 60.00
_cell_angle_beta 60.00
_cell_angle_gamma 60.00
loop_
_atom_site_label
_atom_site_fract_x
_atom_site_fract_y
_atom_site_fract_z
Ba1 0.000 0.000 0.000
Na1 0.500 0.500 0.500
Li1 0.250 0.250 0.250
Ag1 0.750 0.750 0.750
```

- SG = F-43m

***

Relative energies, kJ/mol of atoms: version a 0.0; version b 7.4.

***

Version a
DFT (PBE) results for crystalline Ba2LiAgP at its relaxed geometry.

CIF file:
```
data_Ba2LiAgP
_space_group_name_H-M_alt 'P 1'
_space_group_IT_number 1
_space_group_name_Hall 'P 1'
_cell_length_a 6.417
_cell_length_b 6.417
_cell_length_c 4.658
_cell_angle_alpha 90.00
_cell_angle_beta 90.00
_cell_angle_gamma 90.00
loop_
_atom_site_label
_atom_site_fract_x
_atom_site_fract_y
_atom_site_fract_z
Ba1 0.000 0.500 0.000
Ba2 0.500 0.000 0.000
Li1 0.000 0.000 0.500
Ag1 0.500 0.500 0.000
P1 0.500 0.500 0.500
```

- SG = P4/mmm

***

Version b
DFT (PBE) results for crystalline Ba2LiAgP at its relaxed geometry.

CIF file:
```
data_Ba2LiAgP
_space_group_name_H-M_alt 'P 1'
_space_group_IT_number 1
_space_group_name_Hall 'P 1'
_cell_length_a 6.279
_cell_length_b 6.279
_cell_length_c 4.658
_cell_angle_alpha 90.00
_cell_angle_beta 90.00
_cell_angle_gamma 90.00
loop_
_atom_site_label
_atom_site_fract_x
_atom_site_fract_y
_atom_site_fract_z
Ba1 0.000 0.500 0.000
Ba2 0.500 0.000 0.000
Li1 0.000 0.000 0.500
Ag1 0.500 0.500 0.500
P1 0.000 0.000 0.000
```

- SG = P4/mmm

***

Relative energies, kJ/mol of atoms: version a 38.3; version b 0.0.